*one*
A plane-wave DFT calculation with GGA-PBE was carried out for a relaxed structure of SrAg4Pt2.

As for the crystal system: tetragonal. As for the total magnetization: 0.000 μB/cell.

It has space group I4/mmm (No. 139), with a = 7.040 Å, b = 7.040 Å, c = 5.553 Å, α = 90.00°, β = 90.00° and γ = 90.00°. The asymmetric unit holds Sr at (0.000, 0.000, 0.000), Ag at (0.198, 0.198, 0.500) and Pt at (0.000, 0.500, 0.250).

*two*
A plane-wave DFT calculation with GGA-PBE was carried out for a relaxed structure of SrAg4Pt2.

As for the crystal system: tetragonal. As for the total magnetization: 0.000 μB/cell.

It has space group I4/mmm (No. 139), with a = 5.242 Å, b = 5.242 Å, c = 14.229 Å, α = 90.00°, β = 90.00° and γ = 90.00°. The asymmetric unit holds Sr at (0.000, 0.000, 0.000), Ag at (0.000, 0.000, 0.223), Ag at (0.000, 0.500, 0.000) and Pt at (0.000, 0.000, 0.409).

Which one sits at the bottom of the stability order? *two* does.